No. 1
## HfCrAs2O8 (GGA+U)

Data for crystalline HfCrAs2O8 at its relaxed geometry.

Unit cell a=5.7280 b=5.7280 c=5.7280 alpha=107.32 beta=107.32 gamma=113.86
Closest atoms and distances in Å follow each position.
Fractional coordinates of all 12 atoms:
As 0.7500 0.2500 0.5000  4 O 1.73
As 0.5000 0.5000 0.0000  4 O 1.71
O 0.3271 0.1318 0.8047  1 As 1.71
O 0.9418 0.6258 0.6840  1 As 1.73
O 0.3271 0.5224 0.1953  1 As 1.71
O 0.7422 0.0582 0.6840  1 As 1.73
O 0.9418 0.2578 0.3160  1 As 1.73
O 0.8682 0.6729 0.1953  1 As 1.71
O 0.4776 0.6729 0.8047  1 As 1.71
O 0.3742 0.0582 0.3160  1 As 1.73
Hf 0.2500 0.7500 0.5000  8 O 2.12-2.30
Cr 0.0000 0.0000 0.0000  8 O 2.18-2.44

- energy (eV/atom) = -7.37
- mass density (g cm⁻³) = 5.9

---

No. 2
## Hf2CrAsO (GGA+U)

Data for crystalline Hf2CrAsO at its relaxed geometry.

Unit cell a=4.1860 b=5.1654 c=4.1860 alpha=90.00 beta=90.00 gamma=90.00
Closest atoms and distances in Å follow each position.
Fractional coordinates of all 5 atoms:
O 0.0000 0.0000 0.0000  4 Hf 2.09
Cr 0.5000 0.5000 0.5000  4 As 2.96
As 0.0000 0.5000 0.0000  2 O 2.58
Hf 0.5000 0.0000 0.0000  2 O 2.09
Hf 0.0000 0.0000 0.5000  2 O 2.09

- energy (eV/atom) = -8.01
- mass density (g cm⁻³) = 9.2

---

Which of these has the lowest energy?
Hf2CrAsO